# Tm6Mg2Hg

A relaxed structure of Tm6Mg2Hg (PBE, Alexandria).

## Properties
DFT formation energy (meV/atom): -86

a b c (Å): 5.071 9.931 9.929
angles (deg): 90.00 90.00 90.00
Last column: magnetic moment on the atom in μB.
Fractional positions:
Tm1 0.000 0.372 0.128  0.01
Tm2 0.000 0.325 0.479  0.06
Tm3 0.500 0.479 0.675  0.06
Tm4 0.500 0.872 0.372  0.01
Tm5 0.000 0.675 0.521  0.06
Tm6 0.500 0.175 0.979  0.06
Tm7 0.000 0.979 0.825  0.06
Tm8 0.500 0.521 0.325  0.06
Tm9 0.000 0.021 0.175  0.06
Tm10 0.000 0.628 0.872  0.01
Tm11 0.500 0.825 0.021  0.06
Tm12 0.500 0.128 0.628  0.01
Mg1 0.500 0.801 0.699  0.00
Mg2 0.500 0.199 0.301  0.00
Mg3 0.000 0.699 0.199  0.00
Mg4 0.000 0.301 0.801  0.00
Hg1 0.500 0.500 0.000  0.00
Hg2 0.000 0.000 0.500  0.00